# 1
DFT (PBE) results for crystalline Ta2BeMo at its relaxed geometry.

Energy of formation from the pure elements in eV per atom: 0.357
Energy in eV per atom: -9.209
Space-group type: No. 166

```
Ta2BeMo
1.0
1.416 0.817 9.273
-1.416 0.817 9.273
0.000 -1.635 9.273
Ta Be Mo
2 1 1
direct
0.243 0.243 0.243
0.757 0.757 0.757
0.500 0.500 0.500
0.000 0.000 0.000
```

---

# 2
DFT (PBE) results for crystalline Ta2BeMo at its relaxed geometry.

Energy of formation from the pure elements in eV per atom: -0.026
Energy in eV per atom: -9.592
Space-group type: No. 123

```
Ta2BeMo
1.0
4.328 0.000 0.000
0.000 4.328 0.000
0.000 0.000 3.331
Ta Be Mo
2 1 1
direct
0.000 0.500 0.000
0.500 0.000 0.000
0.000 0.000 0.500
0.500 0.500 0.500
```

---

# 3
DFT (PBE) results for crystalline Ta2BeMo at its relaxed geometry.

Energy of formation from the pure elements in eV per atom: 0.120
Energy in eV per atom: -9.445
Space-group type: No. 99

```
Ta2BeMo
1.0
2.725 0.000 0.000
0.000 2.725 0.000
0.000 0.000 8.336
Ta Be Mo
2 1 1
direct
0.000 0.000 0.000
0.500 0.500 0.295
0.000 0.000 0.510
0.500 0.500 0.713
```

---

# 4
DFT (PBE) results for crystalline TaBeMo at its relaxed geometry.

Relative energy among the computed polymorphs in meV/atom: 218
Energy of formation from the pure elements in eV per atom: 0.046
Energy in eV per atom: -8.757
Space-group type: No. 107

```
TaBeMo
1.0
-1.632 1.632 4.115
1.632 -1.632 4.115
1.632 1.632 -4.115
Ta Be Mo
1 1 1
direct
0.000 0.000 0.000
0.329 0.329 0.000
0.679 0.679 0.000
```